Entry from the Alexandria database: crystalline SrWO3 at its relaxed geometry (GGA+U).

Its electronic total energy is -4.601 eV per atom. The density of states at the Fermi level is 0.696 states/eV/atom. Its calculated volume is 16.9 Å³ per atom.

a = 4.388 Å, b = 4.388 Å, c = 4.388 Å
α = 90.00°, β = 90.00°, γ = 90.00°
Fractional positions:
Sr 0.000 0.000 0.000
W 0.500 0.500 0.500
O 0.000 0.000 0.500
O 0.000 0.500 0.000
O 0.500 0.000 0.000